Entry 1:
The following is a GGA-PBE calculation of a geometry-optimized ZrVC2 structure, from Alexandria. Values from VASP.

```
&SYSTEM
  ibrav = 0, nat = 8, ntyp = 3
/
ATOMIC_SPECIES
Zr 91.22 Zr.upf
V 50.94 V.upf
C 12.01 C.upf
ATOMIC_POSITIONS angstrom
Zr 0.0000 0.0000 0.0000
Zr 0.0000 2.4074 2.3912
V 2.4074 0.0000 2.3912
V 0.0000 0.0000 4.7823
C 1.2037 -0.9863 3.5867
C 1.4212 1.2037 1.1956
C 1.2037 3.3937 -1.1956
C 0.9863 1.2037 5.9779
CELL_PARAMETERS angstrom
-2.4074 2.4074 4.7823
2.4074 -2.4074 4.7823
2.4074 2.4074 -4.7823
```

Calculated values
Total DFT energy (no corrections) ... -72.19 eV per cell
Formation energy from the elements ... 0.005 eV per atom
V ... 13.9 Å³ per atom
DOS at the Fermi energy ... 5.18 states/eV per cell



Entry 2:
The following is a GGA-PBE calculation of a geometry-optimized Zr3VC structure, from Alexandria. Values from VASP.

```
&SYSTEM
  ibrav = 0, nat = 5, ntyp = 3
/
ATOMIC_SPECIES
Zr 91.22 Zr.upf
V 50.94 V.upf
C 12.01 C.upf
ATOMIC_POSITIONS angstrom
Zr 0.0000 0.0000 2.2767
Zr 0.0000 2.2767 0.0000
Zr 2.2767 0.0000 0.0000
V 2.2767 2.2767 2.2767
C 0.0000 0.0000 0.0000
CELL_PARAMETERS angstrom
4.5534 0.0000 0.0000
0.0000 4.5534 0.0000
0.0000 0.0000 4.5534
```

Calculated values
Total DFT energy (no corrections) ... -44.44 eV per cell
Formation energy from the elements ... -0.091 eV per atom
V ... 18.9 Å³ per atom
Excess energy over the best structure of this formula in the dataset ... 0 meV/atom
DOS at the Fermi energy ... 4.34 states/eV per cell



Entry 3:
The following is a GGA-PBE calculation of a geometry-optimized ZrV2C2 structure, from Alexandria. Values from VASP.

```
&SYSTEM
  ibrav = 0, nat = 10, ntyp = 3
/
ATOMIC_SPECIES
Zr 91.22 Zr.upf
V 50.94 V.upf
C 12.01 C.upf
ATOMIC_POSITIONS angstrom
Zr 0.0000 0.0000 0.0000
Zr 3.1797 3.1797 0.0000
V 0.8021 2.3775 0.0000
V 2.3775 5.5572 0.0000
V 3.9818 0.8021 0.0000
V 5.5572 3.9818 0.0000
C 1.0369 4.2165 1.3699
C 2.1428 1.0369 1.3699
C 4.2165 5.3225 1.3699
C 5.3225 2.1428 1.3699
CELL_PARAMETERS angstrom
6.3593 0.0000 0.0000
0.0000 6.3593 0.0000
0.0000 0.0000 2.7399
```

Calculated values
Total DFT energy (no corrections) ... -84.57 eV per cell
Formation energy from the elements ... 0.589 eV per atom
V ... 11.1 Å³ per atom
Excess energy over the best structure of this formula in the dataset ... 962 meV/atom
DOS at the Fermi energy ... 7.80 states/eV per cell



Entry 4:
The following is a GGA-PBE calculation of a geometry-optimized ZrV3C structure, from Alexandria. Values from VASP.

```
&SYSTEM
  ibrav = 0, nat = 5, ntyp = 3
/
ATOMIC_SPECIES
Zr 91.22 Zr.upf
V 50.94 V.upf
C 12.01 C.upf
ATOMIC_POSITIONS angstrom
Zr 0.0000 0.0000 0.0000
V 0.0000 0.0000 2.3309
V 0.0000 2.3309 0.0000
V 2.3309 0.0000 0.0000
C 2.3309 2.3309 2.3309
CELL_PARAMETERS angstrom
4.6617 0.0000 0.0000
0.0000 4.6617 0.0000
0.0000 0.0000 4.6617
```

Calculated values
Total DFT energy (no corrections) ... -30.62 eV per cell
Formation energy from the elements ... 2.901 eV per atom
V ... 20.3 Å³ per atom
Excess energy over the best structure of this formula in the dataset ... 3151 meV/atom
DOS at the Fermi energy ... 7.44 states/eV per cell



Entry 5:
The following is a GGA-PBE calculation of a geometry-optimized ZrVC3 structure, from Alexandria. Values from VASP.

```
&SYSTEM
  ibrav = 0, nat = 5, ntyp = 3
/
ATOMIC_SPECIES
Zr 91.22 Zr.upf
V 50.94 V.upf
C 12.01 C.upf
ATOMIC_POSITIONS angstrom
Zr 0.0000 0.0000 0.0000
V 1.9222 1.9222 1.9222
C 0.0000 1.9222 1.9222
C 1.9222 0.0000 1.9222
C 1.9222 1.9222 0.0000
CELL_PARAMETERS angstrom
3.8444 0.0000 0.0000
0.0000 3.8444 0.0000
0.0000 0.0000 3.8444
```

Calculated values
Total DFT energy (no corrections) ... -40.88 eV per cell
Formation energy from the elements ... 0.892 eV per atom
V ... 11.4 Å³ per atom
Excess energy over the best structure of this formula in the dataset ... 0 meV/atom
DOS at the Fermi energy ... 3.75 states/eV per cell



Entry 6:
The following is a GGA-PBE calculation of a geometry-optimized Zr2VC2 structure, from Alexandria. Values from VASP.

```
&SYSTEM
  ibrav = 0, nat = 5, ntyp = 3
/
ATOMIC_SPECIES
Zr 91.22 Zr.upf
V 50.94 V.upf
C 12.01 C.upf
ATOMIC_POSITIONS angstrom
Zr 0.0000 0.0000 1.5121
Zr 0.0000 0.0000 6.9783
V 0.0000 0.0000 4.2452
C 2.1417 0.0000 2.1226
C 0.0000 2.1417 2.1226
CELL_PARAMETERS angstrom
-2.1417 2.1417 4.2452
2.1417 -2.1417 4.2452
2.1417 2.1417 -4.2452
```

Calculated values
Total DFT energy (no corrections) ... -42.40 eV per cell
Formation energy from the elements ... 0.452 eV per atom
V ... 15.6 Å³ per atom
Excess energy over the best structure of this formula in the dataset ... 783 meV/atom
DOS at the Fermi energy ... 2.65 states/eV per cell